(1)
{"formula": "CdFe2Cl8", "functional": "PBE", "state": "optimized geometry", "magmom_total_mub_per_cell": 10.0, "formation_energy_uncorrected_ev_per_atom": -0.8358, "e_tot_ev_per_atom": -3.80, "lattice": [[6.241, -4.611, 0.000], [6.241, 4.611, 0.000], [-0.596, 0.000, 6.217]], "species": ["Cd", "Fe", "Fe", "Cl", "Cl", "Cl", "Cl", "Cl", "Cl", "Cl", "Cl"], "fractional_positions": [[0.000, 0.000, 0.000], [0.189, 0.189, 0.637], [0.811, 0.811, 0.363], [0.089, 0.711, 0.236], [0.179, 0.179, 0.278], [0.289, 0.911, 0.764], [0.356, 0.356, 0.754], [0.644, 0.644, 0.246], [0.711, 0.089, 0.236], [0.821, 0.821, 0.722], [0.911, 0.289, 0.764]]}

(2)
{"formula": "Sr2SbPtO6", "functional": "PBE", "state": "optimized geometry", "magmom_total_mub_per_cell": 0.7, "formation_energy_uncorrected_ev_per_atom": -1.8403, "e_tot_ev_per_atom": -6.17, "lattice": [[5.630, -2.742, 0.000], [5.630, 2.742, 0.000], [-1.737, 0.000, 4.742]], "species": ["Sr", "Sr", "Sb", "Pt", "O", "O", "O", "O", "O", "O"], "fractional_positions": [[0.234, 0.234, 0.216], [0.766, 0.766, 0.784], [0.500, 0.500, 0.000], [0.000, 0.000, 0.500], [0.173, 0.679, 0.203], [0.321, 0.827, 0.797], [0.326, 0.326, 0.732], [0.674, 0.674, 0.268], [0.679, 0.173, 0.203], [0.827, 0.321, 0.797]]}

(3)
{"formula": "NaBiF5", "functional": "PBE", "state": "optimized geometry", "magmom_total_mub_per_cell": 0.0, "formation_energy_uncorrected_ev_per_atom": -2.2762, "e_tot_ev_per_atom": -4.36, "lattice": [[4.833, -3.540, 0.000], [4.833, 3.540, 0.000], [-3.918, 0.000, 7.774]], "species": ["Na", "Na", "Bi", "Bi", "F", "F", "F", "F", "F", "F", "F", "F", "F", "F"], "fractional_positions": [[0.003, 0.997, 0.750], [0.997, 0.003, 0.250], [0.500, 0.500, 0.000], [0.500, 0.500, 0.500], [0.177, 0.769, 0.525], [0.215, 0.297, 0.871], [0.231, 0.823, 0.975], [0.297, 0.215, 0.371], [0.442, 0.558, 0.250], [0.558, 0.442, 0.750], [0.703, 0.785, 0.629], [0.769, 0.177, 0.025], [0.785, 0.703, 0.129], [0.823, 0.231, 0.475]]}

(4)
{"formula": "LaTbNd3Sm", "functional": "PBE", "state": "optimized geometry", "magmom_total_mub_per_cell": 0.0, "ef_kj_per_mol_fu": 63, "e_tot_ev_per_atom": -4.65, "lattice": [[3.029, -5.682, 0.000], [3.029, 5.682, 0.000], [0.000, 0.000, 12.098]], "species": ["La", "La", "Tb", "Tb", "Nd", "Nd", "Nd", "Nd", "Nd", "Nd", "Sm", "Sm"], "fractional_positions": [[0.030, 0.970, 0.750], [0.970, 0.030, 0.250], [0.336, 0.664, 0.750], [0.664, 0.336, 0.250], [0.171, 0.829, 0.019], [0.171, 0.829, 0.481], [0.351, 0.649, 0.250], [0.649, 0.351, 0.750], [0.829, 0.171, 0.519], [0.829, 0.171, 0.981], [0.500, 0.500, 0.000], [0.500, 0.500, 0.500]]}

(5)
{"formula": "AlV2GeB", "functional": "PBE", "state": "optimized geometry", "magmom_total_mub_per_cell": 0.0, "ef_kj_per_mol_fu": 119, "e_tot_ev_per_atom": -6.41, "lattice": [[4.150, 0.000, 0.000], [0.000, 4.150, 0.000], [0.000, 0.000, 3.914]], "species": ["Al", "V", "V", "Ge", "B"], "fractional_positions": [[0.000, 0.000, 0.000], [0.000, 0.500, 0.500], [0.500, 0.000, 0.500], [0.500, 0.500, 0.000], [0.500, 0.500, 0.500]]}

(6)
{"formula": "KRb2Ga2", "functional": "PBE", "state": "optimized geometry", "magmom_total_mub_per_cell": 0.0, "ef_kj_per_mol_fu": 46, "relative_energy_mev_per_atom": 2, "e_tot_ev_per_atom": -1.72, "lattice": [[8.780, 0.000, 0.000], [0.000, 8.780, 0.000], [0.000, 0.000, 6.023]], "species": ["K", "K", "Rb", "Rb", "Rb", "Rb", "Ga", "Ga", "Ga", "Ga"], "fractional_positions": [[0.000, 0.000, 0.000], [0.500, 0.500, 0.000], [0.173, 0.327, 0.500], [0.327, 0.827, 0.500], [0.673, 0.173, 0.500], [0.827, 0.673, 0.500], [0.099, 0.599, 0.000], [0.401, 0.099, 0.000], [0.599, 0.901, 0.000], [0.901, 0.401, 0.000]]}

(7)
{"formula": "BeCu2Os", "functional": "PBE", "state": "optimized geometry", "magmom_total_mub_per_cell": 0.0, "ef_kj_per_mol_fu": 90, "e_tot_ev_per_atom": -5.55, "lattice": [[-1.697, 1.697, 4.066], [1.697, -1.697, 4.066], [1.697, 1.697, -4.066]], "species": ["Be", "Cu", "Cu", "Os"], "fractional_positions": [[0.000, 0.000, 0.000], [0.250, 0.750, 0.500], [0.750, 0.250, 0.500], [0.500, 0.500, 0.000]]}

(8)
{"formula": "CdSb2Se4", "functional": "PBE", "state": "optimized geometry", "magmom_total_mub_per_cell": 0.0, "formation_energy_uncorrected_ev_per_atom": -0.3481, "e_tot_ev_per_atom": -3.65, "lattice": [[9.140, -2.039, 0.000], [9.140, 2.039, 0.000], [-7.629, 0.000, 11.471]], "species": ["Cd", "Cd", "Sb", "Sb", "Sb", "Sb", "Se", "Se", "Se", "Se", "Se", "Se", "Se", "Se"], "fractional_positions": [[0.249, 0.249, 0.250], [0.751, 0.751, 0.750], [0.130, 0.130, 0.873], [0.370, 0.370, 0.627], [0.630, 0.630, 0.373], [0.870, 0.870, 0.127], [0.080, 0.080, 0.213], [0.208, 0.208, 0.581], [0.293, 0.293, 0.919], [0.419, 0.419, 0.288], [0.581, 0.581, 0.712], [0.707, 0.707, 0.081], [0.792, 0.792, 0.419], [0.920, 0.920, 0.787]]}